No. 1
10
Lattice="2.8431 0.0000 0.0000 0.0000 2.8431 0.0000 0.0000 0.0000 20.0809" Properties=species:S:1:pos:R:3 comment="MnNb4Pt5 | Alexandria | PBE | optimized geometry" vol_a3_per_atom=16.2 final_energy_ev_per_atom=-8.566 m_tot_mub_per_fu=4.2 formation_energy_ev_per_atom=-0.6006 pbc="T T T"
Mn 0.0000 0.0000 0.0000
Nb 0.0000 0.0000 3.8764
Nb 0.0000 0.0000 7.9876
Nb 0.0000 0.0000 12.0932
Nb 0.0000 0.0000 16.2044
Pt 1.4215 1.4215 1.8743
Pt 1.4215 1.4215 5.9288
Pt 1.4215 1.4215 10.0404
Pt 1.4215 1.4215 14.1520
Pt 1.4215 1.4215 18.2065

***

No. 2
5
Lattice="5.5724 0.0000 0.0000 0.0000 5.5724 0.0000 0.0000 0.0000 4.5873" Properties=species:S:1:pos:R:3 comment="LiTl2BrN | Alexandria | PBE | optimized geometry" vol_a3_per_atom=28.5 final_energy_ev_per_atom=-2.640 m_tot_mub_per_fu=1.5 pbc="T T T"
Li 0.0000 0.0000 0.0000
Tl 0.0000 2.7862 0.0000
Tl 2.7862 0.0000 0.0000
Br 0.0000 0.0000 2.2936
N 2.7862 2.7862 2.2936

***

No. 3
4
Lattice="4.7575 0.0000 0.0000 0.0000 4.7575 0.0000 0.0000 0.0000 4.5870" Properties=species:S:1:pos:R:3 comment="Ce2USn | Alexandria | PBE | optimized geometry" vol_a3_per_atom=26.0 final_energy_ev_per_atom=-6.940 m_tot_mub_per_fu=4.5 formation_energy_ev_per_atom=-0.1505 pbc="T T T"
Ce 0.0000 2.3787 0.0000
Ce 2.3787 0.0000 0.0000
U 0.0000 0.0000 2.2935
Sn 2.3787 2.3787 2.2935

***

No. 4
8
Lattice="7.5910 0.0000 0.0000 0.0000 4.3866 0.0000 -2.5292 0.0000 7.6841" Properties=species:S:1:pos:R:3 comment="K2CePrSe4 | Alexandria | PBE | optimized geometry" vol_a3_per_atom=32.0 final_energy_ev_per_atom=-5.075 m_tot_mub_per_fu=1.0 pbc="T T T"
K 0.0000 0.0000 0.0000
K 3.7955 2.1933 0.0000
Ce -1.2646 2.1933 3.8420
Pr 2.5309 0.0000 3.8420
Se -0.0105 0.0000 5.4578
Se 1.2564 2.1933 2.2157
Se 3.8054 2.1933 5.4684
Se 5.0723 0.0000 2.2263

***

No. 5
5
Lattice="4.4055 0.0000 0.0000 0.0000 4.4055 0.0000 0.0000 0.0000 4.4055" Properties=species:S:1:pos:R:3 comment="KCo3P | Alexandria | PBE | optimized geometry" vol_a3_per_atom=17.1 final_energy_ev_per_atom=-5.107 relative_energy_ev_per_atom=0.0000 m_tot_mub_per_fu=5.0 formation_energy_ev_per_atom=0.4584 pbc="T T T"
K 0.0000 0.0000 0.0000
Co 0.0000 2.2028 2.2028
Co 2.2028 0.0000 2.2028
Co 2.2028 2.2028 0.0000
P 2.2028 2.2028 2.2028

***

No. 6
16
Lattice="6.2509 0.0000 0.0000 0.0000 6.2509 0.0000 0.0000 0.0000 6.2509" Properties=species:S:1:pos:R:3 comment="ScCrMoOs | Alexandria | PBE | optimized geometry" vol_a3_per_atom=15.3 final_energy_ev_per_atom=-9.545 m_tot_mub_per_fu=0.7 formation_energy_ev_per_atom=-0.0412 pbc="T T T"
Sc 0.0000 0.0000 0.0000
Sc 0.0000 3.1254 3.1254
Sc 3.1254 0.0000 3.1254
Sc 3.1254 3.1254 0.0000
Cr 1.5627 1.5627 1.5627
Cr 1.5627 4.6881 4.6881
Cr 4.6881 1.5627 4.6881
Cr 4.6881 4.6881 1.5627
Mo 0.0000 0.0000 3.1254
Mo 0.0000 3.1254 0.0000
Mo 3.1254 0.0000 0.0000
Mo 3.1254 3.1254 3.1254
Os 1.5627 1.5627 4.6881
Os 1.5627 4.6881 1.5627
Os 4.6881 1.5627 1.5627
Os 4.6881 4.6881 4.6881